# NiPdAu GGA-PBE relaxed
data_NiPdAu
_chemical_formula_sum 'Ni1 Pd1 Au1'
_cell_length_a 4.3551
_cell_length_b 4.3551
_cell_length_c 2.7547
_cell_angle_alpha 90.00
_cell_angle_beta 90.00
_cell_angle_gamma 120.00
_symmetry_space_group_name_H-M 'P 3 m 1'
_symmetry_Int_Tables_number 156
_symmetry_space_group_name_Hall 'P 3 -2"'
loop_
_atom_site_label
_atom_site_fract_x
_atom_site_fract_y
_atom_site_fract_z
Ni1 0.0000 0.0000 0.0000
Pd1 0.6667 0.3333 0.1747
Au1 0.3333 0.6667 0.6235
# Excess energy over the best structure of this formula in the dataset   0.102 eV/atom
# Formation energy from the elements   10.6 kJ per mole of atoms

# NiPd2Au6 GGA-PBE relaxed
data_NiPd2Au6
_chemical_formula_sum 'Ni2 Pd4 Au12'
_cell_length_a 14.259
_cell_length_b 7.720
_cell_length_c 2.818
_cell_angle_alpha 90.00
_cell_angle_beta 90.16
_cell_angle_gamma 90.00
_symmetry_space_group_name_H-M 'C 1 2/m 1'
_symmetry_Int_Tables_number 12
_symmetry_space_group_name_Hall '-C 2y'
loop_
_atom_site_label
_atom_site_fract_x
_atom_site_fract_y
_atom_site_fract_z
Ni1 0.000 0.000 0.000
Pd1 0.182 0.500 0.499
Au1 0.000 0.315 0.500
Au2 0.160 0.178 0.000
# Formation energy from the elements   6.1 kJ per mole of atoms

# Ni2Pd15Au2 GGA-PBE relaxed
data_Ni2Pd15Au2
_chemical_formula_sum 'Ni6 Pd45 Au6'
_cell_length_a 8.9335
_cell_length_b 8.9335
_cell_length_c 13.7968
_cell_angle_alpha 90.00
_cell_angle_beta 90.00
_cell_angle_gamma 120.00
_symmetry_space_group_name_H-M 'R -3 m'
_symmetry_Int_Tables_number 166
_symmetry_space_group_name_Hall '-R 3 2"'
loop_
_atom_site_label
_atom_site_fract_x
_atom_site_fract_y
_atom_site_fract_z
Ni1 0.0000 0.0000 0.0856
Pd1 0.0000 0.3203 0.0000
Pd2 0.0004 0.5002 0.1616
Pd3 0.0000 0.5000 0.5000
Au1 0.0000 0.0000 0.2891
# Formation energy from the elements   23.7 kJ per mole of atoms

# Ni2Pd2Au GGA-PBE relaxed
data_Ni2Pd2Au
_chemical_formula_sum 'Ni4 Pd4 Au2'
_cell_length_a 3.349
_cell_length_b 3.349
_cell_length_c 13.726
_cell_angle_alpha 90.00
_cell_angle_beta 90.00
_cell_angle_gamma 90.00
_symmetry_space_group_name_H-M 'I 4/m m m'
_symmetry_Int_Tables_number 139
_symmetry_space_group_name_Hall '-I 4 2'
loop_
_atom_site_label
_atom_site_fract_x
_atom_site_fract_y
_atom_site_fract_z
Ni1 0.000 0.500 0.250
Pd1 0.000 0.000 0.108
Au1 0.000 0.000 0.500
# Excess energy over the best structure of this formula in the dataset   0.130 eV/atom
# Formation energy from the elements   24.3 kJ per mole of atoms

# NiPdAu GGA-PBE relaxed
data_NiPdAu
_chemical_formula_sum 'Ni4 Pd4 Au4'
_cell_length_a 3.999
_cell_length_b 4.008
_cell_length_c 11.134
_cell_angle_alpha 90.00
_cell_angle_beta 90.11
_cell_angle_gamma 90.00
_symmetry_space_group_name_H-M 'C 1 2/m 1'
_symmetry_Int_Tables_number 12
_symmetry_space_group_name_Hall '-C 2y'
loop_
_atom_site_label
_atom_site_fract_x
_atom_site_fract_y
_atom_site_fract_z
Ni1 0.250 0.000 0.061
Pd1 0.249 0.000 0.787
Au1 0.249 0.500 0.600
# Excess energy over the best structure of this formula in the dataset   0.000 eV/atom
# Formation energy from the elements   0.8 kJ per mole of atoms

# NiPdAu2 GGA-PBE relaxed
data_NiPdAu2
_chemical_formula_sum 'Ni4 Pd4 Au8'
_cell_length_a 7.172
_cell_length_b 7.172
_cell_length_c 5.361
_cell_angle_alpha 90.00
_cell_angle_beta 90.00
_cell_angle_gamma 90.00
_symmetry_space_group_name_H-M 'I -4 2 d'
_symmetry_Int_Tables_number 122
_symmetry_space_group_name_Hall 'I -4 2bw'
loop_
_atom_site_label
_atom_site_fract_x
_atom_site_fract_y
_atom_site_fract_z
Ni1 0.000 0.000 0.000
Pd1 0.000 0.000 0.500
Au1 0.228 0.250 0.125
# Formation energy from the elements   31.4 kJ per mole of atoms

# NiPd4Au2 GGA-PBE relaxed
data_NiPd4Au2
_chemical_formula_sum 'Ni2 Pd8 Au4'
_cell_length_a 4.554
_cell_length_b 4.554
_cell_length_c 13.280
_cell_angle_alpha 90.00
_cell_angle_beta 90.00
_cell_angle_gamma 90.00
_symmetry_space_group_name_H-M 'I 4/m m m'
_symmetry_Int_Tables_number 139
_symmetry_space_group_name_Hall '-I 4 2'
loop_
_atom_site_label
_atom_site_fract_x
_atom_site_fract_y
_atom_site_fract_z
Ni1 0.000 0.000 0.000
Pd1 0.000 0.000 0.179
Pd2 0.000 0.500 0.000
Au1 0.000 0.000 0.380
# Excess energy over the best structure of this formula in the dataset   0.634 eV/atom
# Formation energy from the elements   60.7 kJ per mole of atoms

# NiPd5Au4 GGA-PBE relaxed
data_NiPd5Au4
_chemical_formula_sum 'Ni1 Pd5 Au4'
_cell_length_a 2.846
_cell_length_b 2.846
_cell_length_c 19.797
_cell_angle_alpha 90.00
_cell_angle_beta 90.00
_cell_angle_gamma 90.00
_symmetry_space_group_name_H-M 'P 4/m m m'
_symmetry_Int_Tables_number 123
_symmetry_space_group_name_Hall '-P 4 2'
loop_
_atom_site_label
_atom_site_fract_x
_atom_site_fract_y
_atom_site_fract_z
Ni1 0.000 0.000 0.000
Pd1 0.500 0.500 0.083
Pd2 0.500 0.500 0.292
Pd3 0.500 0.500 0.500
Au1 0.000 0.000 0.188
Au2 0.000 0.000 0.396
# Excess energy over the best structure of this formula in the dataset   0.000 eV/atom
# Formation energy from the elements   -5.0 kJ per mole of atoms

# NiPd8Au6 GGA-PBE relaxed
data_NiPd8Au6
_chemical_formula_sum 'Ni3 Pd24 Au18'
_cell_length_a 7.4786
_cell_length_b 7.4786
_cell_length_c 16.5679
_cell_angle_alpha 90.00
_cell_angle_beta 90.00
_cell_angle_gamma 120.00
_symmetry_space_group_name_H-M 'R -3'
_symmetry_Int_Tables_number 148
_symmetry_space_group_name_Hall '-R 3'
loop_
_atom_site_label
_atom_site_fract_x
_atom_site_fract_y
_atom_site_fract_z
Ni1 0.0000 0.0000 0.0000
Pd1 0.0000 0.0000 0.2458
Pd2 0.0070 0.7115 0.1290
Au1 0.0041 0.6990 0.6268
# Excess energy over the best structure of this formula in the dataset   0.072 eV/atom
# Formation energy from the elements   16.0 kJ per mole of atoms

# NiPd2Au GGA-PBE relaxed
data_NiPd2Au
_chemical_formula_sum 'Ni2 Pd4 Au2'
_cell_length_a 2.789
_cell_length_b 8.373
_cell_length_c 5.366
_cell_angle_alpha 90.00
_cell_angle_beta 105.03
_cell_angle_gamma 90.00
_symmetry_space_group_name_H-M 'P 1 21/m 1'
_symmetry_Int_Tables_number 11
_symmetry_space_group_name_Hall '-P 2yb'
loop_
_atom_site_label
_atom_site_fract_x
_atom_site_fract_y
_atom_site_fract_z
Ni1 0.244 0.250 0.484
Pd1 0.365 0.524 0.732
Au1 0.029 0.750 0.058
# Formation energy from the elements   3.4 kJ per mole of atoms

# NiPd2Au GGA-PBE relaxed
data_NiPd2Au
_chemical_formula_sum 'Ni3 Pd6 Au3'
_cell_length_a 2.8131
_cell_length_b 2.8131
_cell_length_c 26.6308
_cell_angle_alpha 90.00
_cell_angle_beta 90.00
_cell_angle_gamma 120.00
_symmetry_space_group_name_H-M 'R -3 m'
_symmetry_Int_Tables_number 166
_symmetry_space_group_name_Hall '-R 3 2"'
loop_
_atom_site_label
_atom_site_fract_x
_atom_site_fract_y
_atom_site_fract_z
Ni1 0.0000 0.0000 0.0000
Pd1 0.0000 0.0000 0.2572
Au1 0.0000 0.0000 0.5000
# Formation energy from the elements   3.4 kJ per mole of atoms

# NiPdPtAu GGA-PBE relaxed
data_NiPdPtAu
_chemical_formula_sum 'Ni1 Pd1 Pt1 Au1'
_cell_length_a 2.802
_cell_length_b 2.802
_cell_length_c 7.702
_cell_angle_alpha 90.00
_cell_angle_beta 90.00
_cell_angle_gamma 90.00
_symmetry_space_group_name_H-M 'P 4 m m'
_symmetry_Int_Tables_number 99
_symmetry_space_group_name_Hall 'P 4 -2'
loop_
_atom_site_label
_atom_site_fract_x
_atom_site_fract_y
_atom_site_fract_z
Ni1 0.000 0.000 0.000
Pd1 0.500 0.500 0.223
Pt1 0.500 0.500 0.781
Au1 0.000 0.000 0.499
# Excess energy over the best structure of this formula in the dataset   0.000 eV/atom
# Formation energy from the elements   -1.4 kJ per mole of atoms

# NiPdPtAu GGA-PBE relaxed
data_NiPdPtAu
_chemical_formula_sum 'Ni4 Pd4 Pt4 Au4'
_cell_length_a 6.251
_cell_length_b 6.251
_cell_length_c 6.251
_cell_angle_alpha 90.00
_cell_angle_beta 90.00
_cell_angle_gamma 90.00
_symmetry_space_group_name_H-M 'F -4 3 m'
_symmetry_Int_Tables_number 216
_symmetry_space_group_name_Hall 'F -4 2 3'
loop_
_atom_site_label
_atom_site_fract_x
_atom_site_fract_y
_atom_site_fract_z
Ni1 0.000 0.000 0.000
Pd1 0.000 0.000 0.500
Pt1 0.250 0.250 0.750
Au1 0.250 0.250 0.250
# Excess energy over the best structure of this formula in the dataset   0.114 eV/atom
# Formation energy from the elements   9.6 kJ per mole of atoms

# Ni2PdAuS GGA-PBE relaxed
data_Ni2PdAuS
_chemical_formula_sum 'Ni2 Pd1 Au1 S1'
_cell_length_a 4.109
_cell_length_b 4.109
_cell_length_c 4.707
_cell_angle_alpha 90.00
_cell_angle_beta 90.00
_cell_angle_gamma 90.00
_symmetry_space_group_name_H-M 'P 4/m m m'
_symmetry_Int_Tables_number 123
_symmetry_space_group_name_Hall '-P 4 2'
loop_
_atom_site_label
_atom_site_fract_x
_atom_site_fract_y
_atom_site_fract_z
Ni1 0.000 0.500 0.000
Pd1 0.000 0.000 0.500
Au1 0.500 0.500 0.500
S1 0.500 0.500 0.000
# Raw formation energy   0.97 eV per formula unit

# NiSbPdAu GGA-PBE relaxed
data_NiSbPdAu
_chemical_formula_sum 'Ni4 Sb4 Pd4 Au4'
_cell_length_a 6.434
_cell_length_b 6.434
_cell_length_c 6.434
_cell_angle_alpha 90.00
_cell_angle_beta 90.00
_cell_angle_gamma 90.00
_symmetry_space_group_name_H-M 'F -4 3 m'
_symmetry_Int_Tables_number 216
_symmetry_space_group_name_Hall 'F -4 2 3'
loop_
_atom_site_label
_atom_site_fract_x
_atom_site_fract_y
_atom_site_fract_z
Ni1 0.000 0.000 0.000
Sb1 0.250 0.250 0.750
Pd1 0.000 0.000 0.500
Au1 0.250 0.250 0.250
# Raw formation energy   -0.48 eV per formula unit

# Sc4Ni2PdAu GGA-PBE relaxed
data_Sc4Ni2PdAu
_chemical_formula_sum 'Sc12 Ni6 Pd3 Au3'
_cell_length_a 4.6329
_cell_length_b 4.6329
_cell_length_c 22.7231
_cell_angle_alpha 90.00
_cell_angle_beta 90.00
_cell_angle_gamma 120.00
_symmetry_space_group_name_H-M 'R -3 m'
_symmetry_Int_Tables_number 166
_symmetry_space_group_name_Hall '-R 3 2"'
loop_
_atom_site_label
_atom_site_fract_x
_atom_site_fract_y
_atom_site_fract_z
Sc1 0.0000 0.0000 0.1229
Sc2 0.0000 0.0000 0.3733
Ni1 0.0000 0.0000 0.2517
Pd1 0.0000 0.0000 0.0000
Au1 0.0000 0.0000 0.5000
# Formation energy from the elements   -63.0 kJ per mole of atoms

# Ni3Pd2AuSe8 GGA-PBE relaxed
data_Ni3Pd2AuSe8
_chemical_formula_sum 'Ni9 Pd6 Au3 Se24'
_cell_length_a 7.3053
_cell_length_b 7.3053
_cell_length_c 18.3741
_cell_angle_alpha 90.00
_cell_angle_beta 90.00
_cell_angle_gamma 120.00
_symmetry_space_group_name_H-M 'R 3 m'
_symmetry_Int_Tables_number 160
_symmetry_space_group_name_Hall 'R 3 -2"'
loop_
_atom_site_label
_atom_site_fract_x
_atom_site_fract_y
_atom_site_fract_z
Ni1 0.0026 0.5013 0.0000
Pd1 0.0000 0.0000 0.1274
Pd2 0.0000 0.0000 0.4995
Au1 0.0000 0.0000 0.8697
Se1 0.0000 0.0000 0.2645
Se2 0.0000 0.0000 0.7317
Se3 0.0374 0.5187 0.2596
Se4 0.1822 0.3644 0.0747
# Raw formation energy   -3.54 eV per formula unit

# NiSn6PdAu2 GGA-PBE relaxed
data_NiSn6PdAu2
_chemical_formula_sum 'Ni2 Sn12 Pd2 Au4'
_cell_length_a 7.247
_cell_length_b 6.542
_cell_length_c 11.819
_cell_angle_alpha 90.00
_cell_angle_beta 126.48
_cell_angle_gamma 90.00
_symmetry_space_group_name_H-M 'P 1 21/c 1'
_symmetry_Int_Tables_number 14
_symmetry_space_group_name_Hall '-P 2ybc'
loop_
_atom_site_label
_atom_site_fract_x
_atom_site_fract_y
_atom_site_fract_z
Ni1 0.000 0.000 0.000
Sn1 0.094 0.160 0.428
Sn2 0.242 0.647 0.416
Sn3 0.391 0.563 0.739
Pd1 0.500 0.000 0.500
Au1 0.219 0.174 0.741
# Formation energy from the elements   -19.8 kJ per mole of atoms

# NiSnPdAu GGA-PBE relaxed
data_NiSnPdAu
_chemical_formula_sum 'Ni4 Sn4 Pd4 Au4'
_cell_length_a 6.389
_cell_length_b 6.389
_cell_length_c 6.389
_cell_angle_alpha 90.00
_cell_angle_beta 90.00
_cell_angle_gamma 90.00
_symmetry_space_group_name_H-M 'F -4 3 m'
_symmetry_Int_Tables_number 216
_symmetry_space_group_name_Hall 'F -4 2 3'
loop_
_atom_site_label
_atom_site_fract_x
_atom_site_fract_y
_atom_site_fract_z
Ni1 0.000 0.000 0.000
Sn1 0.250 0.250 0.250
Pd1 0.000 0.000 0.500
Au1 0.250 0.250 0.750
# Formation energy from the elements   -19.4 kJ per mole of atoms

# Th2NiPdAu GGA-PBE relaxed
data_Th2NiPdAu
_chemical_formula_sum 'Th4 Ni2 Pd2 Au2'
_cell_length_a 7.350
_cell_length_b 4.353
_cell_length_c 7.396
_cell_angle_alpha 90.00
_cell_angle_beta 109.86
_cell_angle_gamma 90.00
_symmetry_space_group_name_H-M 'P 1 21/m 1'
_symmetry_Int_Tables_number 11
_symmetry_space_group_name_Hall '-P 2yb'
loop_
_atom_site_label
_atom_site_fract_x
_atom_site_fract_y
_atom_site_fract_z
Th1 0.034 0.250 0.203
Th2 0.354 0.750 0.646
Ni1 0.067 0.250 0.583
Pd1 0.321 0.250 0.939
Au1 0.335 0.750 0.205
# Formation energy from the elements   -60.2 kJ per mole of atoms

no.,magnetization (μB/atom)
1,0.26
2,0.00
3,0.14
4,0.36
5,0.27
6,0.16
7,0.17
8,0.12
9,0.09
10,0.31
11,0.33
12,0.33
13,0.26
14,0.00
15,0.00
16,0.00
17,0.00
18,0.00
19,0.00
20,0.00